DFT (PBE-GGA) results for PuVRe after structural relaxation.

Geometry as extended XYZ:
```
6
Lattice="3.617 -4.182 0.000 3.617 4.182 0.000 0.000 0.000 4.177" Properties=species:S:1:pos:R:3 pbc="T T T"
Pu 3.617 2.568 0.000
Pu 3.617 -2.568 0.000
V 0.000 0.000 2.088
V 3.617 0.000 0.000
Re 2.329 0.000 2.088
Re 4.906 0.000 2.088
```

The total magnetic moment is 10.17 μB per cell. As for the space group: No. 65. For the formation enthalpy at 0 K, the calculation gives 1075 meV/atom. As for the final energy: -65.35 eV/cell.

DFT (PBE-GGA) results for HfMgSc2N after structural relaxation.

Geometry as extended XYZ:
```
5
Lattice="4.513 0.000 0.000 0.000 4.513 0.000 0.000 0.000 4.464" Properties=species:S:1:pos:R:3 pbc="T T T"
Hf 0.000 0.000 0.000
Mg 2.257 2.257 0.000
Sc 0.000 2.257 2.232
Sc 2.257 0.000 2.232
N 0.000 0.000 2.232
```

The uncorrected formation energy comes out at -17.63 kcal/mol of atoms. The total magnetic moment is 0.00 μB per cell. As for the space group: No. 123. As for the final energy: -36.36 eV/cell.

DFT (PBE-GGA) results for Cd4Rh3Au after structural relaxation.

Geometry as extended XYZ:
```
8
Lattice="3.311 0.000 0.000 0.000 3.311 0.000 0.000 0.000 12.732" Properties=species:S:1:pos:R:3 pbc="T T T"
Cd 0.000 0.000 1.549
Cd 0.000 0.000 4.633
Cd 0.000 0.000 8.099
Cd 0.000 0.000 11.183
Rh 1.656 1.656 0.000
Rh 1.656 1.656 3.134
Rh 1.656 1.656 9.598
Au 1.656 1.656 6.366
```

The total magnetic moment is 0.00 μB per cell. As for the space group: No. 123. For the formation enthalpy at 0 K, the calculation gives -108 meV/atom. As for the final energy: -29.85 eV/cell.

DFT (PBE-GGA) results for RbTl10In3 after structural relaxation.

Geometry as extended XYZ:
```
28
Lattice="0.000 7.889 7.889 7.889 0.000 7.889 7.889 7.889 0.000" Properties=species:S:1:pos:R:3 pbc="T T T"
Rb 3.945 3.945 3.945
Rb 11.834 11.834 11.834
Tl 2.805 2.805 0.000
Tl 5.085 5.085 0.000
Tl 2.805 0.000 2.805
Tl 7.889 5.085 2.805
Tl 5.085 0.000 5.085
Tl 7.889 2.805 5.085
Tl 9.706 6.072 6.072
Tl 0.000 2.805 2.805
Tl 5.085 7.889 2.805
Tl 5.085 2.805 7.889
Tl 6.072 6.072 6.072
Tl 9.706 9.706 6.072
Tl 9.706 6.072 9.706
Tl 6.072 9.706 6.072
Tl 6.072 6.072 9.706
Tl 9.706 9.706 9.706
Tl 0.000 5.085 5.085
Tl 2.805 7.889 5.085
Tl 2.805 5.085 7.889
Tl 6.072 9.706 9.706
In 7.889 7.889 4.142
In 7.889 4.142 7.889
In 11.636 7.889 7.889
In 4.142 7.889 7.889
In 7.889 11.636 7.889
In 7.889 7.889 11.636
```

The total magnetic moment is 0.00 μB per cell. As for the space group: No. 225. For the formation enthalpy at 0 K, the calculation gives 82 meV/atom. As for the final energy: -63.39 eV/cell.

DFT (PBE-GGA) results for Cs2KHg6Au after structural relaxation.

Geometry as extended XYZ:
```
10
Lattice="6.139 -6.136 0.000 6.139 6.136 0.000 -6.132 0.000 6.145" Properties=species:S:1:pos:R:3 pbc="T T T"
Cs 6.139 3.068 0.000
Cs 6.139 -3.068 0.000
K -3.066 0.000 3.072
Hg 3.069 0.000 0.223
Hg 0.223 0.000 3.077
Hg 3.073 2.847 3.072
Hg 3.073 -2.847 3.072
Hg 5.924 0.000 3.067
Hg 3.077 0.000 5.922
Au 3.073 0.000 3.072
```

The total magnetic moment is 0.00 μB per cell. As for the space group: No. 12. For the formation enthalpy at 0 K, the calculation gives -156 meV/atom. As for the final energy: -9.45 eV/cell.

DFT (PBE-GGA) results for Ac2PmBr after structural relaxation.

Geometry as extended XYZ:
```
4
Lattice="1.977 1.141 11.285 -1.977 1.141 11.285 0.000 -2.283 11.285" Properties=species:S:1:pos:R:3 pbc="T T T"
Ac 0.000 0.000 8.232
Ac 0.000 0.000 25.622
Pm 0.000 0.000 0.000
Br 0.000 0.000 16.927
```

The uncorrected formation energy comes out at -12.57 kcal/mol of atoms. The total magnetic moment is 0.00 μB per cell. As for the space group: No. 166. As for the final energy: -16.82 eV/cell.

DFT (PBE-GGA) results for Tm5ScCu6 after structural relaxation.

Geometry as extended XYZ:
```
12
Lattice="2.407 -7.221 0.000 2.407 7.221 0.000 0.000 0.000 6.734" Properties=species:S:1:pos:R:3 pbc="T T T"
Tm 0.000 0.000 0.000
Tm 2.407 2.418 0.000
Tm 2.407 2.389 3.367
Tm 2.407 -2.389 3.367
Tm 2.407 -2.418 0.000
Sc 0.000 0.000 3.367
Cu 2.407 4.866 1.723
Cu 2.407 4.866 5.011
Cu 2.407 0.000 1.732
Cu 2.407 0.000 5.002
Cu 2.407 -4.866 1.723
Cu 2.407 -4.866 5.011
```

The total magnetic moment is 0.00 μB per cell. As for the space group: No. 65. For the formation enthalpy at 0 K, the calculation gives -286 meV/atom. As for the final energy: -56.70 eV/cell.

DFT (PBE-GGA) results for SrZrCo2 after structural relaxation.

Geometry as extended XYZ:
```
4
Lattice="0.000 3.345 3.345 3.345 0.000 3.345 3.345 3.345 0.000" Properties=species:S:1:pos:R:3 pbc="T T T"
Sr 0.000 0.000 0.000
Zr 3.345 3.345 3.345
Co 1.673 1.673 1.673
Co 5.018 5.018 5.018
```

The total magnetic moment is 0.71 μB per cell. As for the space group: No. 225. For the formation enthalpy at 0 K, the calculation gives 374 meV/atom. As for the final energy: -22.95 eV/cell.

DFT (PBE-GGA) results for CaTl2Bi after structural relaxation.

Geometry as extended XYZ:
```
4
Lattice="4.811 0.000 0.000 0.000 4.811 0.000 0.000 0.000 5.276" Properties=species:S:1:pos:R:3 pbc="T T T"
Ca 0.000 0.000 0.000
Tl 0.000 2.405 2.638
Tl 2.405 0.000 2.638
Bi 2.405 2.405 0.000
```

The total magnetic moment is 0.00 μB per cell. As for the space group: No. 123. For the formation enthalpy at 0 K, the calculation gives -380 meV/atom. As for the final energy: -12.13 eV/cell.

DFT (PBE-GGA) results for Th4SnOsSe2 after structural relaxation.

Geometry as extended XYZ:
```
8
Lattice="7.502 0.000 0.000 0.000 4.223 0.000 -2.475 0.000 7.262" Properties=species:S:1:pos:R:3 pbc="T T T"
Th 1.119 0.000 1.576
Th -0.075 2.112 5.607
Th 5.102 2.112 1.655
Th 3.908 0.000 5.686
Sn -1.238 0.000 3.631
Os 0.000 2.112 0.000
Se 3.751 0.000 0.000
Se 2.513 2.112 3.631
```

The uncorrected formation energy comes out at -22.27 kcal/mol of atoms. The total magnetic moment is 0.00 μB per cell. As for the space group: No. 10. As for the final energy: -59.61 eV/cell.

DFT (PBE-GGA) results for AlAg5Au4 after structural relaxation.

Geometry as extended XYZ:
```
10
Lattice="7.877 -1.716 0.000 7.877 1.716 0.000 -0.076 0.000 6.963" Properties=species:S:1:pos:R:3 pbc="T T T"
Al 0.000 0.000 0.000
Ag -0.038 0.000 3.481
Ag 4.121 0.000 4.565
Ag 5.984 0.000 2.100
Ag 9.693 0.000 4.863
Ag 11.557 0.000 2.398
Au 2.780 0.000 0.126
Au 6.795 0.000 5.368
Au 8.882 0.000 1.595
Au 12.897 0.000 6.837
```

The total magnetic moment is 0.00 μB per cell. As for the space group: No. 12. For the formation enthalpy at 0 K, the calculation gives -17 meV/atom. As for the final energy: -31.28 eV/cell.

DFT (PBE-GGA) results for CaMg2Ni after structural relaxation.

Geometry as extended XYZ:
```
4
Lattice="3.386 0.000 0.000 0.000 3.386 0.000 0.000 0.000 7.551" Properties=species:S:1:pos:R:3 pbc="T T T"
Ca 0.000 0.000 0.000
Mg 0.000 0.000 4.512
Mg 1.693 1.693 2.584
Ni 1.693 1.693 5.681
```

The total magnetic moment is 0.00 μB per cell. As for the space group: No. 99. For the formation enthalpy at 0 K, the calculation gives -48 meV/atom. As for the final energy: -11.16 eV/cell.

DFT (PBE-GGA) results for TiFeHgN2 after structural relaxation.

Geometry as extended XYZ:
```
5
Lattice="4.140 0.000 0.000 0.000 4.140 0.000 0.000 0.000 5.416" Properties=species:S:1:pos:R:3 pbc="T T T"
Ti 0.000 0.000 0.000
Fe 2.070 2.070 0.000
Hg 0.000 0.000 2.708
N 0.000 2.070 2.708
N 2.070 0.000 2.708
```

The uncorrected formation energy comes out at 54.42 kcal/mol of atoms. The total magnetic moment is 3.19 μB per cell. As for the space group: No. 123. As for the final energy: -21.51 eV/cell.

DFT (PBE-GGA) results for Na3HBr after structural relaxation.

Geometry as extended XYZ:
```
5
Lattice="4.896 0.000 0.000 0.000 4.896 0.000 0.000 0.000 4.896" Properties=species:S:1:pos:R:3 pbc="T T T"
Na 0.000 0.000 2.448
Na 0.000 2.448 0.000
Na 2.448 0.000 0.000
H 0.000 0.000 0.000
Br 2.448 2.448 2.448
```

The total magnetic moment is 0.00 μB per cell. As for the space group: No. 221. As for the final energy: -11.37 eV/cell.

DFT (PBE-GGA) results for SrPm2Hg after structural relaxation.

Geometry as extended XYZ:
```
4
Lattice="3.867 0.000 0.000 0.000 3.867 0.000 0.000 0.000 9.551" Properties=species:S:1:pos:R:3 pbc="T T T"
Sr 0.000 0.000 0.000
Pm 1.934 1.934 2.986
Pm 1.934 1.934 6.565
Hg 0.000 0.000 4.776
```

The total magnetic moment is 0.11 μB per cell. As for the space group: No. 123. For the formation enthalpy at 0 K, the calculation gives -124 meV/atom. As for the final energy: -11.98 eV/cell.

DFT (PBE-GGA) results for BeCr2Fe after structural relaxation.

Geometry as extended XYZ:
```
4
Lattice="1.484 -1.869 0.000 1.484 1.869 0.000 0.000 0.000 7.700" Properties=species:S:1:pos:R:3 pbc="T T T"
Be 0.000 0.000 0.000
Cr 1.484 0.000 1.839
Cr 1.484 0.000 5.861
Fe 0.000 0.000 3.850
```

The total magnetic moment is 2.06 μB per cell. As for the space group: No. 65. For the formation enthalpy at 0 K, the calculation gives 64 meV/atom. As for the final energy: -31.18 eV/cell.

DFT (PBE-GGA) results for AlCoS2 after structural relaxation.

Geometry as extended XYZ:
```
8
Lattice="-2.634 2.634 5.209 2.634 -2.634 5.209 2.634 2.634 -5.209" Properties=species:S:1:pos:R:3 pbc="T T T"
Al 0.000 0.000 0.000
Al 0.000 2.634 2.605
Co 2.634 0.000 2.605
Co 0.000 0.000 5.209
S 1.317 -1.300 3.907
S 1.334 1.317 1.302
S 1.317 3.934 -1.302
S 1.300 1.317 6.512
```

The uncorrected formation energy comes out at -14.12 kcal/mol of atoms. The total magnetic moment is 4.00 μB per cell. As for the space group: No. 122. As for the final energy: -43.11 eV/cell.

DFT (PBE-GGA) results for Pm4Al12Cu after structural relaxation.

Geometry as extended XYZ:
```
17
Lattice="-4.387 4.387 4.387 4.387 -4.387 4.387 4.387 4.387 -4.387" Properties=species:S:1:pos:R:3 pbc="T T T"
Pm 2.193 2.193 -2.193
Pm 2.193 -2.193 2.193
Pm -2.193 2.193 2.193
Pm 2.193 2.193 2.193
Al 2.577 0.000 0.000
Al 6.196 0.000 0.000
Al 4.387 2.193 0.000
Al 4.387 0.000 2.193
Al 0.000 2.577 0.000
Al 0.000 0.000 2.577
Al 2.193 4.387 0.000
Al 2.193 0.000 4.387
Al 0.000 6.196 0.000
Al 0.000 0.000 6.196
Al 0.000 4.387 2.193
Al 0.000 2.193 4.387
Cu 0.000 0.000 0.000
```

The total magnetic moment is 0.00 μB per cell. As for the space group: No. 229. For the formation enthalpy at 0 K, the calculation gives -425 meV/atom. As for the final energy: -75.24 eV/cell.

DFT (PBE-GGA) results for ScTc2Ge2 after structural relaxation.

Geometry as extended XYZ:
```
10
Lattice="7.168 0.000 0.000 0.000 7.168 0.000 0.000 0.000 3.090" Properties=species:S:1:pos:R:3 pbc="T T T"
Sc 0.000 0.000 0.000
Sc 3.584 3.584 0.000
Tc 1.081 2.503 1.545
Tc 2.503 6.087 1.545
Tc 4.665 1.081 1.545
Tc 6.087 4.665 1.545
Ge 1.022 4.606 0.000
Ge 2.562 1.022 0.000
Ge 4.606 6.146 0.000
Ge 6.146 2.562 0.000
```

The total magnetic moment is 0.00 μB per cell. As for the space group: No. 127. For the formation enthalpy at 0 K, the calculation gives -339 meV/atom. As for the final energy: -75.98 eV/cell.

DFT (PBE-GGA) results for KGaO3 after structural relaxation.

Geometry as extended XYZ:
```
5
Lattice="4.558 0.000 0.000 0.000 4.558 0.000 0.000 0.000 4.558" Properties=species:S:1:pos:R:3 pbc="T T T"
K 0.000 0.000 0.000
Ga 2.279 2.279 2.279
O 0.000 0.000 2.279
O 0.000 2.279 0.000
O 2.279 0.000 0.000
```

The uncorrected formation energy comes out at 16.98 kcal/mol of atoms. The total magnetic moment is 4.00 μB per cell. As for the space group: No. 221. As for the final energy: -15.32 eV/cell.